Density functional theory data (GGA-PBE) for crystalline Ca6Mg3Hg at its relaxed geometry.

The density of states at the Fermi level is 0.820 states/eV per atom. As for the total magnetization: 0.0 μB per formula unit. The energy relative to the elements comes out at -148 meV per atom.

The structure belongs to space group P2_1/m (No. 11); the cell edges are 9.620, 5.710 and 12.568 Å and the angles 90.00°, 110.21° and 90.00°. The distinct sites, in fractional coordinates, are Ca at (0.017, 0.250, 0.416), Ca at (0.167, 0.750, 0.159), Ca at (0.264, 0.250, 0.001), Ca at (0.350, 0.750, 0.822), Ca at (0.358, 0.250, 0.336), Ca at (0.394, 0.250, 0.639), Mg at (0.028, 0.750, 0.868), Mg at (0.091, 0.250, 0.721), Mg at (0.265, 0.750, 0.466) and Hg at (0.456, 0.750, 0.096).


Density functional theory data (GGA-PBE) for crystalline Ca2MgHg4 at its relaxed geometry.

The density of states at the Fermi level is 0.495 states/eV per atom. As for the total magnetization: 0.0 μB per formula unit. The energy relative to the elements comes out at -341 meV per atom.

The structure belongs to space group R-3m (No. 166, hexagonal axes); the cell edges are 4.9727, 4.9727 and 26.9659 Å and the angles 90.00°, 90.00° and 120.00°. The distinct sites, in fractional coordinates, are Ca at (0.0000, 0.0000, 0.2503), Mg at (0.0000, 0.0000, 0.5000), Hg at (0.0000, 0.0000, 0.1312) and Hg at (0.0000, 0.0000, 0.3681).


Density functional theory data (GGA-PBE) for crystalline Ca2MgHg2 at its relaxed geometry.

The density of states at the Fermi level is 0.698 states/eV per atom. As for the total magnetization: 0.0 μB per formula unit. The energy relative to the elements comes out at -418 meV per atom.

The structure belongs to space group C2/m (No. 12); the cell edges are 12.341, 4.542 and 11.407 Å and the angles 90.00°, 118.41° and 90.00°. The distinct sites, in fractional coordinates, are Ca at (0.014, 0.000, 0.177), Ca at (0.185, 0.000, 0.605), Mg at (0.212, 0.500, 0.868), Hg at (0.027, 0.500, 0.380) and Hg at (0.139, 0.500, 0.077).


Density functional theory data (GGA-PBE) for crystalline Ca5MgHg3 at its relaxed geometry.

The density of states at the Fermi level is 0.891 states/eV per atom. As for the total magnetization: 0.0 μB per formula unit. The energy relative to the elements comes out at -351 meV per atom.

The structure belongs to space group P6_3/mcm (No. 193); the cell edges are 9.5241, 9.5241 and 6.7517 Å and the angles 90.00°, 90.00° and 120.00°. The distinct sites, in fractional coordinates, are Ca at (0.0000, 0.3059, 0.2500), Ca at (0.3333, 0.6667, 0.0000), Mg at (0.0000, 0.0000, 0.0000) and Hg at (0.0000, 0.3602, 0.7500).


Density functional theory data (GGA-PBE) for crystalline CaMgHg2 at its relaxed geometry.

The density of states at the Fermi level is 0.443 states/eV per atom. As for the total magnetization: 0.0 μB per formula unit. The energy relative to the elements comes out at -397 meV per atom.

The structure belongs to space group Pmmm (No. 47); the cell edges are 3.505, 3.685 and 7.495 Å and the angles 90.00°, 90.00° and 90.00°. The distinct sites, in fractional coordinates, are Ca at (0.000, 0.000, 0.000), Mg at (0.000, 0.000, 0.500) and Hg at (0.500, 0.500, 0.270).


Density functional theory data (GGA-PBE) for crystalline Ca2MgHg8 at its relaxed geometry.

The density of states at the Fermi level is 0.254 states/eV per atom. As for the total magnetization: 0.0 μB per formula unit. The energy relative to the elements comes out at -290 meV per atom.

The structure belongs to space group C2/m (No. 12); the cell edges are 16.055, 5.103 and 7.258 Å and the angles 90.00°, 112.08° and 90.00°. The distinct sites, in fractional coordinates, are Ca at (0.210, 0.000, 0.170), Mg at (0.000, 0.500, 0.500), Hg at (0.015, 0.000, 0.224), Hg at (0.105, 0.500, 0.925), Hg at (0.151, 0.500, 0.376) and Hg at (0.156, 0.000, 0.669).


Density functional theory data (GGA-PBE) for crystalline CaMgHg3 at its relaxed geometry.

The density of states at the Fermi level is 0.479 states/eV per atom. As for the total magnetization: 0.0 μB per formula unit. The energy relative to the elements comes out at -240 meV per atom.

The structure belongs to space group I4mm (No. 107); the cell edges are 4.560, 4.560 and 12.708 Å and the angles 90.00°, 90.00° and 90.00°. The distinct sites, in fractional coordinates, are Ca at (0.000, 0.000, 0.000), Mg at (0.000, 0.000, 0.638), Hg at (0.000, 0.000, 0.427) and Hg at (0.000, 0.500, 0.267).


Density functional theory data (GGA-PBE) for crystalline CaMgHg2 at its relaxed geometry.

The density of states at the Fermi level is 0.483 states/eV per atom. As for the total magnetization: 0.0 μB per formula unit. The energy relative to the elements comes out at -299 meV per atom.

The structure belongs to space group I-4m2 (No. 119); the cell edges are 4.465, 4.465 and 10.224 Å and the angles 90.00°, 90.00° and 90.00°. The distinct sites, in fractional coordinates, are Ca at (0.000, 0.000, 0.000), Mg at (0.000, 0.500, 0.250), Hg at (0.000, 0.000, 0.500) and Hg at (0.000, 0.500, 0.750).


Density functional theory data (GGA-PBE) for crystalline CaMg6Hg4 at its relaxed geometry.

The density of states at the Fermi level is 0.349 states/eV per atom. As for the total magnetization: 0.0 μB per formula unit. The energy relative to the elements comes out at -260 meV per atom.

The structure belongs to space group P-6m2 (No. 187); the cell edges are 8.4929, 8.4929 and 4.1821 Å and the angles 90.00°, 90.00° and 120.00°. The distinct sites, in fractional coordinates, are Ca at (0.0000, 0.0000, 0.0000), Mg at (0.2030, 0.4060, 0.5000), Mg at (0.5331, 0.0662, 0.0000), Hg at (0.3333, 0.6667, 0.0000) and Hg at (0.3644, 0.1822, 0.5000).


Density functional theory data (GGA-PBE) for crystalline CaMg2Hg2 at its relaxed geometry.

The density of states at the Fermi level is 0.486 states/eV per atom. As for the total magnetization: 0.0 μB per formula unit. The energy relative to the elements comes out at -275 meV per atom.

The structure belongs to space group P4/mbm (No. 127); the cell edges are 8.217, 8.217 and 3.686 Å and the angles 90.00°, 90.00° and 90.00°. The distinct sites, in fractional coordinates, are Ca at (0.000, 0.000, 0.000), Mg at (0.152, 0.348, 0.500) and Hg at (0.144, 0.644, 0.000).


Density functional theory data (GGA-PBE) for crystalline CaMg2Hg4 at its relaxed geometry.

The density of states at the Fermi level is 0.419 states/eV per atom. As for the total magnetization: 0.0 μB per formula unit. The energy relative to the elements comes out at -268 meV per atom.

The structure belongs to space group R-3m (No. 166, hexagonal axes); the cell edges are 4.9186, 4.9186 and 25.1350 Å and the angles 90.00°, 90.00° and 120.00°. The distinct sites, in fractional coordinates, are Ca at (0.0000, 0.0000, 0.0000), Mg at (0.0000, 0.0000, 0.2460), Hg at (0.0000, 0.0000, 0.1312) and Hg at (0.0000, 0.0000, 0.3923).


Density functional theory data (GGA-PBE) for crystalline Ca4MgHg3 at its relaxed geometry.

The density of states at the Fermi level is 0.745 states/eV per atom. As for the total magnetization: 0.0 μB per formula unit. The energy relative to the elements comes out at -435 meV per atom.

The structure belongs to space group R-3m (No. 166, hexagonal axes); the cell edges are 5.4091, 5.4091 and 26.4867 Å and the angles 90.00°, 90.00° and 120.00°. The distinct sites, in fractional coordinates, are Ca at (0.0000, 0.0000, 0.1206), Ca at (0.0000, 0.0000, 0.3712), Mg at (0.0000, 0.0000, 0.5000), Hg at (0.0000, 0.0000, 0.0000) and Hg at (0.0000, 0.0000, 0.2434).